Arrangement w

Tl2In2Pd | GGA-PBE | optimized geometry

Its calculated volume is 28.092 A^3/atom. The crystal system is tetragonal. The density of states at the Fermi level is 0.524 states/eV per atom.

Cell lengths 4.1001, 4.1001, 16.7104 Å; angles 90.00, 90.00, 90.00 degrees
Space group I4/mmm (No. 139)
Symmetry-distinct sites (fractional):
Tl (0.0000, 0.5000, 0.2500) x4
In (0.0000, 0.0000, 0.0849) x4
Pd (0.0000, 0.0000, 0.5000) x2



Arrangement x

Tl2In2Pd | GGA-PBE | optimized geometry

Its calculated volume is 26.670 A^3/atom. The crystal system is tetragonal. The density of states at the Fermi level is 0.357 states/eV per atom.

Cell lengths 7.3197, 7.3197, 4.9778 Å; angles 90.00, 90.00, 90.00 degrees
Space group P4/mbm (No. 127)
Symmetry-distinct sites (fractional):
Tl (0.1553, 0.3447, 0.0000) x4
In (0.1633, 0.6633, 0.5000) x4
Pd (0.0000, 0.0000, 0.0000) x2



Most stable: arrangement x (next structure +184 meV/atom)



Arrangement w

Tl3InPd6 | GGA-PBE | optimized geometry

Its calculated volume is 19.543 A^3/atom. The crystal system is orthorhombic. The density of states at the Fermi level is 0.407 states/eV per atom.

Cell lengths 10.7210, 12.7093, 5.7372 Å; angles 90.00, 90.00, 90.00 degrees
Space group Cmc2_1 (No. 36)
Symmetry-distinct sites (fractional):
Tl (0.0000, 0.0972, 0.0000) x4
Tl (0.2073, 0.4309, 0.7080) x8
In (0.0000, 0.3103, 0.2395) x4
Pd (0.0000, 0.2859, 0.7262) x4
Pd (0.0000, 0.4942, 0.9731) x4
Pd (0.1299, 0.0936, 0.5697) x8
Pd (0.2461, 0.2726, 0.3819) x8



Arrangement x

Tl3InPd6 | GGA-PBE | optimized geometry

Its calculated volume is 18.975 A^3/atom. The crystal system is monoclinic. The density of states at the Fermi level is 0.438 states/eV per atom.

Cell lengths 9.0560, 4.2216, 10.1805 Å; angles 90.00, 102.82, 90.00 degrees
Space group P2_1/m (No. 11)
Symmetry-distinct sites (fractional):
Tl (0.0448, 0.2500, 0.3923) x2
Tl (0.0788, 0.7500, 0.1402) x2
Tl (0.3376, 0.2500, 0.9628) x2
In (0.4577, 0.2500, 0.6054) x2
Pd (0.1312, 0.7500, 0.8678) x2
Pd (0.1791, 0.2500, 0.6786) x2
Pd (0.2584, 0.7500, 0.4999) x2
Pd (0.3327, 0.2500, 0.3249) x2
Pd (0.3783, 0.7500, 0.1398) x2
Pd (0.4034, 0.7500, 0.7850) x2



Most stable: arrangement x (next structure +104 meV/atom)



Arrangement w

Tm2InPd | GGA-PBE | optimized geometry

Its calculated volume is 25.607 A^3/atom. The crystal system is trigonal. The density of states at the Fermi level is 0.714 states/eV per atom.

Cell lengths 3.7188, 3.7188, 25.6576 Å; angles 90.00, 90.00, 120.00 degrees
Space group R-3m (No. 166, hexagonal axes)
Symmetry-distinct sites (fractional):
Tm (0.0000, 0.0000, 0.2379) x6
In (0.0000, 0.0000, 0.0000) x3
Pd (0.0000, 0.0000, 0.5000) x3



Arrangement x

Tm2InPd | GGA-PBE | optimized geometry

Its calculated volume is 23.332 A^3/atom. The crystal system is cubic. The density of states at the Fermi level is 0.900 states/eV per atom.

Cell lengths 7.2004, 7.2004, 7.2004 Å; angles 90.00, 90.00, 90.00 degrees
Space group Fm-3m (No. 225)
Symmetry-distinct sites (fractional):
Tm (0.2500, 0.2500, 0.2500) x8
In (0.0000, 0.0000, 0.0000) x4
Pd (0.0000, 0.0000, 0.5000) x4



Most stable: arrangement x (next structure +106 meV/atom)